(1)
A plane-wave DFT calculation with PBE was carried out for a relaxed structure of YScCd3.

Output
The space group is Pm-3m.

abc: 5.2994 5.2994 5.2994
angles: 90.00 90.00 90.00
Last column: nearest neighbours and their distance in Å.
Sites, in units of the cell vectors:
Cd 0.0000 0.5000 0.0000  2 Sc 2.65
Cd 0.0000 0.0000 0.5000  2 Sc 2.65
Cd 0.5000 0.0000 0.0000  2 Sc 2.65
Y 0.5000 0.5000 0.5000  12 Cd 3.75
Sc 0.0000 0.0000 0.0000  6 Cd 2.65


(2)
A plane-wave DFT calculation with PBE was carried out for a relaxed structure of YScCd.

Output
The space group is Cmmm.

abc: 4.6850 7.1740 4.7549
angles: 90.00 90.00 70.96
Last column: nearest neighbours and their distance in Å.
Sites, in units of the cell vectors:
Y 0.2965 0.0665 0.5818  4 Cd 3.33, 4 Y 3.34, 4 Sc 3.35
Y 0.7965 0.0665 0.0818  4 Cd 3.31, 4 Y 3.34, 4 Sc 3.37
Sc 0.6199 0.4192 0.5818  2 Sc 3.08, 6 Cd 3.14-3.34, 4 Y 3.35-3.37
Sc 0.9729 0.7138 0.5816  2 Sc 3.08, 6 Cd 3.14-3.34, 4 Y 3.35-3.37
Cd 0.4687 0.7219 0.0817  6 Sc 3.14-3.34, 2 Cd 3.15, 4 Y 3.31-3.33
Cd 0.1243 0.4111 0.0817  6 Sc 3.14-3.34, 2 Cd 3.15, 4 Y 3.31-3.33


(3)
A plane-wave DFT calculation with PBE was carried out for a relaxed structure of Y2ScCd.

Output
The space group is P4/mmm.

abc: 3.9128 3.9135 7.1745
angles: 90.00 90.00 90.00
Last column: nearest neighbours and their distance in Å.
Sites, in units of the cell vectors:
Sc 0.5000 0.5000 0.5000  8 Y 3.30, 2 Cd 3.59
Y 0.0000 0.0000 0.7507  4 Cd 3.29, 4 Sc 3.30, 2 Y 3.58-3.60
Y 0.0000 0.0000 0.2493  4 Cd 3.29, 4 Sc 3.30, 2 Y 3.58-3.60
Cd 0.5000 0.5000 0.0000  8 Y 3.29, 2 Sc 3.59


(4)
A plane-wave DFT calculation with PBE was carried out for a relaxed structure of YScCd2.

Output
The space group is Imm2.

abc: 6.2078 6.2078 6.2078
angles: 146.90 130.45 60.88
Last column: nearest neighbours and their distance in Å.
Sites, in units of the cell vectors:
Sc 0.5132 0.5132 0.0000  6 Cd 3.16-3.20, 2 Y 3.40, 2 Sc 3.54
Cd 0.7622 0.2622 0.5000  2 Cd 2.95, 4 Y 3.15, 2 Sc 3.20
Cd 0.9826 0.9826 0.0000  2 Cd 2.95, 4 Sc 3.16, 2 Y 3.29
Y 0.2420 0.7420 0.5000  6 Cd 3.15-3.29, 2 Sc 3.40


| no. | energy (eV/atom) |
| --- | --- |
| 1 | -2.6699 |
| 2 | -4.6921 |
| 3 | -5.1580 |
| 4 | -3.8531 |